Below is an optimized crystal structure of Pr4YHg2, with properties calculated at the GGA-PBE level.

abc: 6.164 9.177 9.215
angles: 62.81 75.24 74.98
Space group P1 (No. 1)
Unique sites:
Pr 0.000 0.000 0.000 x1
Pr 0.020 0.384 0.652 x1
Pr 0.106 0.559 0.209 x1
Pr 0.311 0.003 0.266 x1
Pr 0.478 0.031 0.672 x1
Pr 0.512 0.537 0.464 x1
Pr 0.573 0.582 0.863 x1
Pr 0.667 0.258 0.230 x1
Y 0.058 0.775 0.737 x1
Y 0.815 0.818 0.431 x1
Hg 0.103 0.387 0.980 x1
Hg 0.543 0.227 0.865 x1
Hg 0.609 0.779 0.065 x1
Hg 0.968 0.154 0.507 x1

- Calculated formation energy: -0.19 eV per atom
- Total magnetization: 0.0 μB per formula unit

Below is an optimized crystal structure of MnAlAs2, with properties calculated at the GGA-PBE level.

abc: 3.770 3.575 10.021
angles: 90.00 90.00 90.00
Space group Amm2 (No. 38)
Unique sites:
Mn 0.000 0.000 0.000 x2
Al 0.500 0.000 0.187 x2
As 0.000 0.000 0.719 x2
As 0.500 0.000 0.440 x2

- Calculated formation energy: -0.08 eV per atom
- Total magnetization: 3.0 μB per formula unit

Below is an optimized crystal structure of Hf6ZrZn, with properties calculated at the GGA-PBE level.

abc: 5.557 5.559 5.561
angles: 90.06 90.20 90.20
Space group P-1 (No. 2)
Unique sites:
Hf 0.001 0.248 0.499 x2
Hf 0.252 0.003 0.999 x2
Hf 0.497 0.500 0.747 x2
Zr 0.000 0.500 0.000 x1
Zn 0.500 0.000 0.500 x1

- Calculated formation energy: 0.10 eV per atom
- Total magnetization: 0.0 μB per formula unit

Below is an optimized crystal structure of PrErRh, with properties calculated at the GGA-PBE level.

abc: 5.903 4.476 6.553
angles: 90.00 106.27 90.00
Space group P2_1/m (No. 11)
Unique sites:
Pr 0.069 0.250 0.280 x2
Er 0.474 0.250 0.795 x2
Rh 0.340 0.750 0.551 x2

- Calculated formation energy: -0.53 eV per atom
- Total magnetization: 0.0 μB per formula unit

Below is an optimized crystal structure of Mg5Ni4Ag, with properties calculated at the GGA-PBE level.

abc: 3.060 3.060 16.052
angles: 90.00 90.00 90.00
Space group P4/mmm (No. 123)
Unique sites:
Mg 0.000 0.000 0.000 x1
Mg 0.000 0.000 0.188 x2
Mg 0.000 0.000 0.378 x2
Ni 0.500 0.500 0.094 x2
Ni 0.500 0.500 0.282 x2
Ag 0.500 0.500 0.500 x1

- Calculated formation energy: -0.16 eV per atom
- Total magnetization: 0.0 μB per formula unit

Below is an optimized crystal structure of ZnBPt4, with properties calculated at the GGA-PBE level.

abc: 7.449 11.252 5.672
angles: 90.00 130.51 90.00
Space group C2/c (No. 15)
Unique sites:
Zn 0.000 0.114 0.250 x4
B 0.000 0.336 0.750 x4
Pt 0.210 0.480 0.790 x8
Pt 0.241 0.270 0.230 x8

- Calculated formation energy: -0.22 eV per atom
- Total magnetization: 0.0 μB per formula unit

Below is an optimized crystal structure of CoSe2Br, with properties calculated at the GGA-PBE level.

abc: 8.157 12.256 5.267
angles: 90.00 108.57 90.00
Space group C2/c (No. 15)
Unique sites:
Co 0.000 0.000 0.250 x4
Se 0.158 0.110 0.078 x8
Br 0.000 0.402 0.750 x4

- Total magnetization: 0.7 μB per formula unit
- Raw formation energy: -0.120 eV per atom

Below is an optimized crystal structure of ThVN, with properties calculated at the GGA-PBE level.

abc: 5.567 3.272 11.389
angles: 90.00 90.00 90.00
Space group Pnma (No. 62)
Unique sites:
Th 0.073 0.250 0.145 x4
V 0.088 0.750 0.427 x4
N 0.239 0.250 0.503 x4

- Total magnetization: 0.0 μB per formula unit
- Raw formation energy: -0.753 eV per atom